No. 1
## TlCuPtW (GGA-PBE)

Data for TlCuPtW after structural relaxation.

Computed properties:
Total DFT energy (no corrections) in eV per atom: -5.679

```
TlCuPtW
1.0
0.5109 2.3320 3.8878
-2.7444 3.5258 0.9227
-3.1326 -0.3497 3.2983
Tl Pt W Cu
1 1 1 1
direct
0.0000 0.0000 0.0000
0.5000 0.5000 0.5000
0.2500 0.2500 0.2500
0.7500 0.7500 0.7500
```

No. 2
## TlCuPtW (GGA-PBE)

Data for TlCuPtW after structural relaxation.

Computed properties:
Total DFT energy (no corrections) in eV per atom: -5.679

```
TlCuPtW
1.0
1.1707 -0.0048 4.4033
-2.4059 2.4441 2.9996
-2.6416 -2.1057 3.0573
Cu W Tl Pt
1 1 1 1
direct
0.7500 0.7500 0.7500
0.5000 0.5000 0.5000
0.0000 0.0000 0.0000
0.2500 0.2500 0.2500
```

No. 3
## YTlCuPt (GGA-PBE)

Data for YTlCuPt after structural relaxation.

Computed properties:
Offset from the most stable computed form in meV per atom: 126
Total DFT energy (no corrections) in eV per atom: -4.976

```
YTlCuPt
1.0
0.0000 3.4194 3.4194
3.4194 0.0000 3.4194
3.4194 3.4194 0.0000
Cu Pt Tl Y
1 1 1 1
direct
0.7500 0.7500 0.7500
0.5000 0.5000 0.5000
0.0000 0.0000 0.0000
0.2500 0.2500 0.2500
```

No. 4
## YTlCuPt (GGA-PBE)

Data for YTlCuPt after structural relaxation.

Computed properties:
Offset from the most stable computed form in meV per atom: 0
Total DFT energy (no corrections) in eV per atom: -5.103

```
YTlCuPt
1.0
0.0000 3.4030 3.4030
3.4030 0.0000 3.4030
3.4030 3.4030 0.0000
Cu Tl Y Pt
1 1 1 1
direct
0.7500 0.7500 0.7500
0.0000 0.0000 0.0000
0.5000 0.5000 0.5000
0.2500 0.2500 0.2500
```